NbMoIO2 (PBE+U, optimized geometry); size of the total moment = 4.1 μB per cell
1.0
4.0825 0.0000 0.0000
0.0000 4.0825 0.0000
0.0000 0.0000 6.0077
I Mo Nb O
1 1 1 2
Cartesian
0.0000 0.0000 3.0039
2.0413 2.0413 3.0039
0.0000 0.0000 0.0000
0.0000 2.0413 0.0000
2.0413 0.0000 0.0000


NbMoIO2 (PBE+U, optimized geometry); size of the total moment = 5.6 μB per cell
1.0
-0.8674 2.3531 3.0745
1.8109 -2.5382 2.4536
6.5315 3.7022 -0.9907
I Mo Nb O
1 1 1 2
Cartesian
3.2657 1.8511 -0.4953
0.0000 0.0000 0.0000
3.7375 1.7585 2.2687
0.9054 -1.2691 1.2268
-0.4337 1.1765 1.5372


Number 1: energy above the lowest structure with this stoichiometry 0 meV per atom. Number 2: energy above the lowest structure with this stoichiometry 648 meV per atom.